Material: SrFeW
Method: DFT, PBEsol
State: optimized geometry

Properties
- formation energy from the elements (eV per atom) = 0.984
- space group = No. 156
- DOS at the Fermi energy (states/eV per atom) = 0.88
- volume (Å³ per atom) = 22.171

```
SrFeW
1.0
-0.015 -3.388 -0.860
1.186 1.003 3.132
-5.789 -0.578 2.378
Fe Sr W
1 1 1
Direct
0.000 0.000 0.068
0.333 0.667 0.698
0.667 0.333 0.234
```